Entry 1:
The following is a PBE calculation of Y3TlTe after structural relaxation, from Alexandria.

Output
The calculation puts the density of states at the Fermi level at 4.7 states/eV/f.u. Its energy is -5.58 eV/atom. The calculation puts the energy above the most stable polymorph in this dataset at 66 meV/atom. The calculation puts the size of the total moment at 0.0 Bohr magnetons per cell.

Cell: 8.6089 4.1756 9.4585 Å, 90.00 113.63 90.00°
Last column: nearest neighbours and their distance in Å.
Space group Pm (No. 6)
One atom of each set of equivalent atoms:
Y 0.0000 0.0000 0.0000  2 Te 3.14, 2 Tl 3.19
Y 0.0104 0.5000 0.6782  2 Te 3.00, 2 Tl 3.09
Y 0.1524 0.5000 0.3620  2 Te 3.21, 3 Tl 3.22-3.40
Y 0.3726 0.5000 0.0145  2 Te 3.11, 1 Tl 3.25, 1 Y 3.45
Y 0.5601 0.5000 0.7422  2 Te 2.98, 3 Tl 3.09-3.11
Y 0.7759 0.0000 0.3335  2 Tl 3.09, 2 Te 3.10-3.27
Tl 0.2713 0.0000 0.6713  6 Y 3.09-3.40
Tl 0.7764 0.5000 0.0933  7 Y 3.09-3.25
Te 0.3698 0.0000 0.2572  6 Y 3.11-3.27
Te 0.7492 0.0000 0.6506  6 Y 2.98-3.14

Entry 2:
The following is a PBE calculation of Y4Tl2Te5 after structural relaxation, from Alexandria.

Output
The calculation puts the density of states at the Fermi level at 3.6 states/eV/f.u. Its energy is -5.06 eV/atom. The calculation puts the size of the total moment at 0.0 Bohr magnetons per cell.

Cell: 23.2804 4.2535 8.0727 Å, 90.00 91.49 90.00°
Last column: nearest neighbours and their distance in Å.
Space group C2/m (No. 12)
One atom of each set of equivalent atoms:
Y 0.0758 0.0000 0.1600  4 Te 3.03-3.05, 1 Tl 3.34
Y 0.1796 0.5000 0.6157  5 Te 3.01-3.07
Tl 0.0470 0.0000 0.6346  1 Tl 3.05, 1 Te 3.20, 1 Y 3.34
Te 0.0000 0.5000 0.0000  4 Y 3.03
Te 0.1587 0.0000 0.8741  3 Y 3.03-3.05, 1 Tl 3.20
Te 0.1913 0.0000 0.3436  4 Y 3.01-3.07

Entry 3:
The following is a PBE calculation of YTl2Te after structural relaxation, from Alexandria.

Output
The calculation puts the density of states at the Fermi level at 1.9 states/eV/f.u. Its energy is -4.03 eV/atom. The calculation puts the energy above the most stable polymorph in this dataset at 92 meV/atom. The calculation puts the size of the total moment at 0.0 Bohr magnetons per cell.

Cell: 11.2246 4.0545 5.7059 Å, 90.00 114.31 90.00°
Last column: nearest neighbours and their distance in Å.
Space group Cm (No. 8)
One atom of each set of equivalent atoms:
Y 0.0000 0.0000 0.0000  3 Te 3.11-3.27, 5 Tl 3.28-3.48
Tl 0.2469 0.0000 0.5971  3 Tl 3.19-3.33, 2 Te 3.37, 3 Y 3.39-3.48
Tl 0.4903 0.0000 0.4438  3 Tl 3.19-3.33, 2 Y 3.28, 1 Te 3.32
Te 0.2187 0.5000 0.0424  3 Y 3.11-3.27, 3 Tl 3.32-3.37

Entry 4:
The following is a PBE calculation of Y6TlTe5 after structural relaxation, from Alexandria.

Output
The calculation puts the density of states at the Fermi level at 6.8 states/eV/f.u. Its energy is -5.93 eV/atom. The calculation puts the size of the total moment at 0.0 Bohr magnetons per cell.

Cell: 7.6007 13.1243 7.5867 Å, 90.00 109.32 90.00°
Last column: nearest neighbours and their distance in Å.
Space group C2/m (No. 12)
One atom of each set of equivalent atoms:
Y 0.2407 0.0000 0.2528  1 Tl 3.02, 5 Te 3.11-3.17
Y 0.2424 0.1624 0.7429  1 Tl 3.01, 5 Te 3.10-3.14
Tl 0.0000 0.0000 0.5000  6 Y 3.01-3.02
Te 0.0000 0.1711 0.0000  6 Y 3.10-3.14
Te 0.0000 0.3346 0.5000  6 Y 3.10-3.11
Te 0.0000 0.5000 0.0000  6 Y 3.11-3.17

Entry 5:
The following is a PBE calculation of Y2TlTe after structural relaxation, from Alexandria.

Output
The calculation puts the density of states at the Fermi level at 4.2 states/eV/f.u. Its energy is -5.26 eV/atom. The calculation puts the energy above the most stable polymorph in this dataset at 235 meV/atom. The calculation puts the size of the total moment at 0.0 Bohr magnetons per cell.

Cell: 3.7823 5.1453 5.7692 Å, 90.00 90.00 90.00°
Last column: nearest neighbours and their distance in Å.
Space group Pmmm (No. 47)
One atom of each set of equivalent atoms:
Y 0.0000 0.0000 0.0000  4 Te 3.19, 4 Tl 3.45
Y 0.0000 0.5000 0.5000  4 Tl 3.19, 4 Te 3.45
Tl 0.5000 0.0000 0.5000  8 Y 3.19-3.45
Te 0.5000 0.5000 0.0000  8 Y 3.19-3.45

Entry 6:
The following is a PBE calculation of Y5TlTe4 after structural relaxation, from Alexandria.

Output
The calculation puts the density of states at the Fermi level at 3.8 states/eV/f.u. Its energy is -5.89 eV/atom. The calculation puts the size of the total moment at 0.0 Bohr magnetons per cell.

Cell: 9.8109 9.8109 6.1839 Å, 90.00 90.00 90.00°
Last column: nearest neighbours and their distance in Å.
Space group I4/m (No. 87)
One atom of each set of equivalent atoms:
Y 0.0000 0.0000 0.0000  2 Tl 3.09, 4 Te 3.11
Y 0.0988 0.2916 0.5000  1 Tl 3.02, 5 Te 3.09-3.14
Tl 0.0000 0.0000 0.5000  6 Y 3.02-3.09
Te 0.0963 0.3023 0.0000  6 Y 3.09-3.14

Entry 7:
The following is a PBE calculation of Y3TlTe after structural relaxation, from Alexandria.

Output
The calculation puts the density of states at the Fermi level at 3.5 states/eV/f.u. Its energy is -5.14 eV/atom. The calculation puts the energy above the most stable polymorph in this dataset at 499 meV/atom. The calculation puts the size of the total moment at 0.0 Bohr magnetons per cell.

Cell: 5.6293 5.6293 5.6293 Å, 90.00 90.00 90.00°
Last column: nearest neighbours and their distance in Å.
Space group Pm-3m (No. 221)
One atom of each set of equivalent atoms:
Y 0.0000 0.0000 0.5000  2 Te 2.81
Tl 0.5000 0.5000 0.5000  12 Y 3.98
Te 0.0000 0.0000 0.0000  6 Y 2.81

Entry 8:
The following is a PBE calculation of YTl5Te4 after structural relaxation, from Alexandria.

Output
The calculation puts the density of states at the Fermi level at 0.1 states/eV/f.u. Its energy is -3.66 eV/atom. The calculation puts the size of the total moment at 0.0 Bohr magnetons per cell.

Cell: 20.1386 4.6208 8.9979 Å, 90.00 116.32 90.00°
Last column: nearest neighbours and their distance in Å.
Space group C2/m (No. 12)
One atom of each set of equivalent atoms:
Y 0.0000 0.0000 0.0000  6 Te 3.11-3.14
Tl 0.0000 0.0000 0.5000  4 Te 3.46, 4 Tl 3.76
Tl 0.1487 0.5000 0.5085  4 Te 3.21-3.59
Tl 0.2049 0.5000 0.0823  3 Te 3.16-3.23
Te 0.0378 0.5000 0.8134  2 Y 3.14, 3 Tl 3.16-3.46
Te 0.1623 0.0000 0.2758  1 Y 3.11, 5 Tl 3.21-3.42

Entry 9:
The following is a PBE calculation of Y4TlTe after structural relaxation, from Alexandria.

Output
The calculation puts the density of states at the Fermi level at 6.3 states/eV/f.u. Its energy is -5.15 eV/atom. The calculation puts the energy above the most stable polymorph in this dataset at 629 meV/atom. The calculation puts the size of the total moment at 0.0 Bohr magnetons per cell.

Cell: 9.0118 9.0118 9.0118 Å, 90.00 90.00 90.00°
Last column: nearest neighbours and their distance in Å.
Space group F-43m (No. 216)
One atom of each set of equivalent atoms:
Y 0.1242 0.1242 0.3758  6 Y 3.17-3.21
Tl 0.2500 0.2500 0.7500  12 Y 3.73, 4 Te 3.90
Te 0.0000 0.0000 0.0000  12 Y 3.74, 4 Tl 3.90

Entry 10:
The following is a PBE calculation of YTl2Te after structural relaxation, from Alexandria.

Output
The calculation puts the density of states at the Fermi level at 2.1 states/eV/f.u. Its energy is -4.12 eV/atom. The calculation puts the energy above the most stable polymorph in this dataset at 0 meV/atom. The calculation puts the size of the total moment at 0.0 Bohr magnetons per cell.

Cell: 4.1299 4.1299 7.0446 Å, 90.00 90.00 90.00°
Last column: nearest neighbours and their distance in Å.
Space group P4mm (No. 99)
One atom of each set of equivalent atoms:
Y 0.0000 0.0000 0.0000  4 Te 3.13, 1 Tl 3.42
Tl 0.0000 0.0000 0.4857  4 Tl 3.31, 2 Y 3.42-3.62
Tl 0.5000 0.5000 0.7082  1 Te 3.18, 4 Tl 3.31
Te 0.5000 0.5000 0.1596  4 Y 3.13, 1 Tl 3.18

Entry 11:
The following is a PBE calculation of Y2TlTe after structural relaxation, from Alexandria.

Output
The calculation puts the density of states at the Fermi level at 1.5 states/eV/f.u. Its energy is -5.43 eV/atom. The calculation puts the energy above the most stable polymorph in this dataset at 65 meV/atom. The calculation puts the size of the total moment at 0.0 Bohr magnetons per cell.

Cell: 4.0835 4.7018 6.2299 Å, 90.00 90.40 90.00°
Last column: nearest neighbours and their distance in Å.
Space group P2/m (No. 10)
One atom of each set of equivalent atoms:
Y 0.0000 0.0000 0.0000  4 Te 3.11, 2 Tl 3.11
Y 0.5000 0.5000 0.5000  4 Tl 3.11, 2 Te 3.11
Tl 0.0000 0.0000 0.5000  6 Y 3.11
Te 0.5000 0.5000 0.0000  6 Y 3.11

Entry 12:
The following is a PBE calculation of Y2TlTe after structural relaxation, from Alexandria.

Output
The calculation puts the density of states at the Fermi level at 3.7 states/eV/f.u. Its energy is -5.28 eV/atom. The calculation puts the energy above the most stable polymorph in this dataset at 208 meV/atom. The calculation puts the size of the total moment at 0.0 Bohr magnetons per cell.

Cell: 7.1495 8.3233 3.8130 Å, 90.00 100.02 90.00°
Last column: nearest neighbours and their distance in Å.
Space group C2/m (No. 12)
One atom of each set of equivalent atoms:
Y 0.2500 0.2500 0.0000  4 Tl 3.16-3.51, 4 Te 3.16-3.51
Tl 0.0000 0.0000 0.5000  8 Y 3.16-3.51
Te 0.0000 0.5000 0.5000  8 Y 3.16-3.51

Entry 13:
The following is a PBE calculation of Y2TlTe after structural relaxation, from Alexandria.

Output
The calculation puts the density of states at the Fermi level at 3.2 states/eV/f.u. Its energy is -5.37 eV/atom. The calculation puts the energy above the most stable polymorph in this dataset at 123 meV/atom. The calculation puts the size of the total moment at 0.0 Bohr magnetons per cell.

Cell: 4.0601 4.0601 25.3107 Å, 90.00 90.00 120.00°
Last column: nearest neighbours and their distance in Å.
Space group R3m (No. 160, hexagonal axes)
One atom of each set of equivalent atoms:
Y 0.0000 0.0000 0.0000  3 Te 3.05, 3 Tl 3.24
Y 0.0000 0.0000 0.1773  3 Te 3.08, 3 Tl 3.25
Tl 0.0000 0.0000 0.4215  6 Y 3.24-3.25
Te 0.0000 0.0000 0.5896  6 Y 3.05-3.08

Entry 14:
The following is a PBE calculation of Y2TlTe4 after structural relaxation, from Alexandria.

Output
The calculation puts the density of states at the Fermi level at 4.3 states/eV/f.u. Its energy is -5.00 eV/atom. The calculation puts the size of the total moment at 0.0 Bohr magnetons per cell.

Cell: 4.3249 14.7805 15.2596 Å, 90.00 90.00 90.00°
Last column: nearest neighbours and their distance in Å.
Space group Cmcm (No. 63)
One atom of each set of equivalent atoms:
Y 0.0000 0.1377 0.0604  6 Te 3.05-3.11
Tl 0.0000 0.4067 0.2500  6 Te 3.21-3.57
Te 0.0000 0.0672 0.2500  2 Y 3.08, 2 Tl 3.21
Te 0.0000 0.2307 0.6197  3 Y 3.05-3.07
Te 0.0000 0.5000 0.0000  4 Y 3.11

Entry 15:
The following is a PBE calculation of Y3Tl3ZnTe8 after structural relaxation, from Alexandria.

Output
The calculation puts the density of states at the Fermi level at 12.2 states/eV/f.u. Its energy is -4.31 eV/atom. The calculation puts the size of the total moment at 0.0 Bohr magnetons per cell.

Cell: 15.1206 8.7111 9.5959 Å, 90.00 121.77 90.00°
Last column: nearest neighbours and their distance in Å.
Space group C2/m (No. 12)
One atom of each set of equivalent atoms:
Y 0.0000 0.0000 0.0000  6 Te 3.07-3.08
Y 0.2500 0.2500 0.0000  6 Te 3.07-3.08
Tl 0.0000 0.5000 0.5000  6 Te 3.41-3.44
Tl 0.2500 0.2500 0.5000  6 Te 3.41-3.44
Zn 0.0000 0.5000 0.0000  6 Te 2.93-2.94
Te 0.0111 0.2608 0.7941  1 Zn 2.94, 2 Y 3.07
Te 0.2273 0.5000 0.2051  1 Zn 2.93, 2 Y 3.07
Te 0.2394 0.0000 0.2182  3 Y 3.08, 3 Tl 3.41

Entry 16:
The following is a PBE calculation of Y2ZrTl3Te6 after structural relaxation, from Alexandria.

Output
The calculation puts the density of states at the Fermi level at 5.2 states/eV/f.u. Its energy is -4.85 eV/atom. The calculation puts the size of the total moment at 1.6 Bohr magnetons per cell.

Cell: 7.5221 13.0168 8.6365 Å, 90.00 106.86 90.00°
Last column: nearest neighbours and their distance in Å.
Space group C2/m (No. 12)
One atom of each set of equivalent atoms:
Y 0.0000 0.1657 0.0000  6 Te 3.09-3.10
Zr 0.0000 0.5000 0.0000  6 Te 2.98-3.00
Tl 0.0000 0.0000 0.5000  6 Te 3.43-3.51
Tl 0.0000 0.3283 0.5000  6 Te 3.43-3.49
Te 0.2307 0.3393 0.2112  1 Zr 2.98, 2 Y 3.09-3.10
Te 0.2491 0.5000 0.7849  1 Zr 3.00, 2 Y 3.10

Entry 17:
The following is a PBE calculation of Y3ZrTl3Te8 after structural relaxation, from Alexandria.

Output
Its energy is -5.03 eV/atom. The calculation puts the size of the total moment at 0.0 Bohr magnetons per cell.

Cell: 8.7105 8.7105 24.8738 Å, 90.00 90.00 120.00°
Last column: nearest neighbours and their distance in Å.
Space group R-3m (No. 166, hexagonal axes)
One atom of each set of equivalent atoms:
Y 0.0000 0.5000 0.0000  6 Te 3.08-3.09
Zr 0.0000 0.0000 0.0000  6 Te 2.97
Tl 0.0000 0.5000 0.5000  6 Te 3.45
Te 0.0000 0.0000 0.2616  3 Y 3.08, 3 Tl 3.45
Te 0.0133 0.5067 0.7361  1 Zr 2.97, 2 Y 3.09

Entry 18:
The following is a PBE calculation of Tl3Zn2Te4 after structural relaxation, from Alexandria.

Output
The calculation puts the density of states at the Fermi level at 2.1 states/eV/f.u. Its energy is -2.78 eV/atom. The calculation puts the size of the total moment at 0.0 Bohr magnetons per cell.

Cell: 4.3262 8.3262 8.9596 Å, 110.12 103.94 90.00°
Last column: nearest neighbours and their distance in Å.
Space group P-1 (No. 2)
One atom of each set of equivalent atoms:
Tl 0.0000 0.0000 0.0000  6 Te 3.23-3.46
Tl 0.1222 0.5378 0.2445  7 Te 3.49-3.74
Zn 0.3236 0.0194 0.6479  4 Te 2.68-2.79
Te 0.2120 0.1904 0.4237  3 Zn 2.71-2.79
Te 0.4743 0.2642 0.9481  1 Zn 2.68

Entry 19:
The following is a PBE calculation of Tl6ZnTe4 after structural relaxation, from Alexandria.

Output
Its energy is -2.86 eV/atom. The calculation puts the size of the total moment at 0.0 Bohr magnetons per cell.

Cell: 11.0625 11.0625 7.5838 Å, 90.00 90.00 120.00°
Last column: nearest neighbours and their distance in Å.
Space group P6_3mc (No. 186)
One atom of each set of equivalent atoms:
Tl 0.0457 0.5229 0.0000  5 Te 3.39-3.68, 1 Zn 3.77
Tl 0.1558 0.3115 0.7024  4 Te 3.36-3.48
Zn 0.3333 0.6667 0.3674  4 Te 2.73-2.76
Te 0.1961 0.3923 0.2709  1 Zn 2.73
Te 0.3333 0.6667 0.7317  1 Zn 2.76

Entry 20:
The following is a PBE calculation of TlZnTe2 after structural relaxation, from Alexandria.

Output
The calculation puts the density of states at the Fermi level at 1.8 states/eV/f.u. Its energy is -2.40 eV/atom. The calculation puts the size of the total moment at 0.0 Bohr magnetons per cell.

Cell: 4.4419 4.4419 12.0929 Å, 90.00 90.00 90.00°
Last column: nearest neighbours and their distance in Å.
Space group I4/mmm (No. 139)
One atom of each set of equivalent atoms:
Tl 0.0000 0.0000 0.0000  4 Zn 3.14
Zn 0.0000 0.0000 0.5000  4 Tl 3.14
Te 0.0000 0.5000 0.2500  4 Te 3.14